Entry 1:
# ZrTiAlHg

A geometry-optimized ZrTiAlHg structure (GGA-PBE, Alexandria via LeMat-Bulk).

**Excess energy over the best structure of this formula in the dataset**: 137 meV per atom
**M_tot**: 0.12 μB per atom
**V**: 19.313 Å³ per atom

Lattice parameters (Å, degrees): 6.761 6.761 6.761 90.00 90.00 90.00
Space group F-43m (No. 216)
Asymmetric unit:
Zr1 0.000 0.000 0.000 (multiplicity 4)
Ti1 0.000 0.000 0.500 (multiplicity 4)
Al1 0.250 0.250 0.750 (multiplicity 4)
Hg1 0.250 0.250 0.250 (multiplicity 4)

***

Entry 2:
# ZrTiAlHg

A geometry-optimized ZrTiAlHg structure (GGA-PBE, Alexandria via LeMat-Bulk).

**Excess energy over the best structure of this formula in the dataset**: 0 meV per atom
**M_tot**: 0.00 μB per atom
**V**: 18.897 Å³ per atom

Lattice parameters (Å, degrees): 2.959 2.959 8.634 90.00 90.00 90.00
Space group P4mm (No. 99)
Asymmetric unit:
Zr1 0.000 0.000 0.000 (multiplicity 1)
Ti1 0.000 0.000 0.541 (multiplicity 1)
Al1 0.500 0.500 0.758 (multiplicity 1)
Hg1 0.500 0.500 0.282 (multiplicity 1)

***

Entry 3:
# AlTl2Hg2

A geometry-optimized AlTl2Hg2 structure (GGA-PBE, Alexandria via LeMat-Bulk).

**Excess energy over the best structure of this formula in the dataset**: 0 meV per atom
**M_tot**: 0.00 μB per atom
**V**: 27.616 Å³ per atom

Lattice parameters (Å, degrees): 7.193 7.193 5.337 90.00 90.00 90.00
Space group P4/mbm (No. 127)
Asymmetric unit:
Al1 0.000 0.000 0.000 (multiplicity 2)
Tl1 0.170 0.330 0.500 (multiplicity 4)
Hg1 0.150 0.650 0.000 (multiplicity 4)

***

Entry 4:
# Al2Tl2Hg

A geometry-optimized Al2Tl2Hg structure (GGA-PBE, Alexandria via LeMat-Bulk).

**Excess energy over the best structure of this formula in the dataset**: 126 meV per atom
**M_tot**: 0.00 μB per atom
**V**: 25.831 Å³ per atom

Lattice parameters (Å, degrees): 9.037 9.037 3.163 90.00 90.00 90.00
Space group P4/mbm (No. 127)
Asymmetric unit:
Al1 0.110 0.390 0.000 (multiplicity 4)
Tl1 0.185 0.685 0.500 (multiplicity 4)
Hg1 0.000 0.000 0.500 (multiplicity 2)

***

Entry 5:
# Al2Tl2Hg

A geometry-optimized Al2Tl2Hg structure (GGA-PBE, Alexandria via LeMat-Bulk).

**Excess energy over the best structure of this formula in the dataset**: 53 meV per atom
**M_tot**: 0.00 μB per atom
**V**: 26.553 Å³ per atom

Lattice parameters (Å, degrees): 3.819 3.819 18.204 90.00 90.00 90.00
Space group I4/mmm (No. 139)
Asymmetric unit:
Al1 0.000 0.500 0.250 (multiplicity 4)
Tl1 0.000 0.000 0.109 (multiplicity 4)
Hg1 0.000 0.000 0.500 (multiplicity 2)

***

Entry 6:
# AlTl4Hg

A geometry-optimized AlTl4Hg structure (GGA-PBE, Alexandria via LeMat-Bulk).

**M_tot**: 0.00 μB per atom
**Uncorrected energy**: -46.64 eV/cell
**V**: 31.246 Å³ per atom

Lattice parameters (Å, degrees): 9.085 9.085 9.085 90.00 90.00 90.00
Space group F-43m (No. 216)
Asymmetric unit:
Al1 0.000 0.000 0.000 (multiplicity 4)
Tl1 0.125 0.125 0.375 (multiplicity 16)
Hg1 0.250 0.250 0.750 (multiplicity 4)

***

> Among the records above, which one has the highest M_tot?

number 1

***

> Look up the M_tot of the sixth one.

0.00 μB per atom

***

> Which formula does entry 3 have?

AlTl2Hg2

***

Please write out number 6 again, unchanged.
# AlTl4Hg

A geometry-optimized AlTl4Hg structure (GGA-PBE, Alexandria via LeMat-Bulk).

**M_tot**: 0.00 μB per atom
**Uncorrected energy**: -46.64 eV/cell
**V**: 31.246 Å³ per atom

Lattice parameters (Å, degrees): 9.085 9.085 9.085 90.00 90.00 90.00
Space group F-43m (No. 216)
Asymmetric unit:
Al1 0.000 0.000 0.000 (multiplicity 4)
Tl1 0.125 0.125 0.375 (multiplicity 16)
Hg1 0.250 0.250 0.750 (multiplicity 4)